Entry 1:
The following is a DFT calculation (PBE) of crystalline TiCu4Au5 at its relaxed geometry.

Properties
Fermi-level density of states: 3.23 states/eV/cell
Calculated total energy: -4.1939 eV/atom
Mass density: 13.78 g/cm3
Energy of formation from the pure elements: -0.13 eV per atom

Structure (CIF):
```
data_TiCu4Au5
_chemical_formula_sum 'Ti1 Cu4 Au5'
_space_group_name_H-M_alt 'P 4/m m m'
_space_group_IT_number 123
_space_group_name_Hall '-P 4 2'
_cell_length_a 3.006
_cell_length_b 3.006
_cell_length_c 17.155
_cell_angle_alpha 90.00
_cell_angle_beta 90.00
_cell_angle_gamma 90.00
loop_
_atom_site_label
_atom_site_type_symbol
_atom_site_fract_x
_atom_site_fract_y
_atom_site_fract_z
Ti1 Ti 0.000 0.000 0.000
Cu1 Cu 0.000 0.000 0.209
Cu2 Cu 0.000 0.000 0.403
Au1 Au 0.500 0.500 0.108
Au2 Au 0.500 0.500 0.306
Au3 Au 0.500 0.500 0.500
```

Entry 2:
The following is a DFT calculation (PBE) of crystalline ZrZn2Ge2 at its relaxed geometry.

Properties
Fermi-level density of states: 3.25 states/eV/cell
Calculated total energy: -4.1415 eV/atom
Mass density: 6.86 g/cm3
Energy of formation from the pure elements: -0.08 eV per atom

Structure (CIF):
```
data_ZrZn2Ge2
_chemical_formula_sum 'Zr2 Zn4 Ge4'
_space_group_name_H-M_alt 'P 4/m b m'
_space_group_IT_number 127
_space_group_name_Hall '-P 4 2ab'
_cell_length_a 7.389
_cell_length_b 7.389
_cell_length_c 3.257
_cell_angle_alpha 90.00
_cell_angle_beta 90.00
_cell_angle_gamma 90.00
loop_
_atom_site_label
_atom_site_type_symbol
_atom_site_fract_x
_atom_site_fract_y
_atom_site_fract_z
Zr1 Zr 0.000 0.000 0.000
Zn1 Zn 0.148 0.352 0.500
Ge1 Ge 0.150 0.650 0.000
```

Entry 3:
The following is a DFT calculation (PBE) of crystalline K2Rb2Pd at its relaxed geometry.

Properties
Fermi-level density of states: 2.62 states/eV/cell
Calculated total energy: -1.6971 eV/atom
Mass density: 2.14 g/cm3
Energy of formation from the pure elements: 0.17 eV per atom

Structure (CIF):
```
data_K2Rb2Pd
_chemical_formula_sum 'K4 Rb4 Pd2'
_space_group_name_H-M_alt 'P 4/m b m'
_space_group_IT_number 127
_space_group_name_Hall '-P 4 2ab'
_cell_length_a 8.697
_cell_length_b 8.697
_cell_length_c 7.311
_cell_angle_alpha 90.00
_cell_angle_beta 90.00
_cell_angle_gamma 90.00
loop_
_atom_site_label
_atom_site_type_symbol
_atom_site_fract_x
_atom_site_fract_y
_atom_site_fract_z
K1 K 0.171 0.329 0.000
Rb1 Rb 0.192 0.692 0.500
Pd1 Pd 0.000 0.000 0.000
```